1.
Computed, not measured: an optimized crystal structure of Th2MnSi3Ir4 at the PBE level of DFT.

Unit cell a=4.1604 b=4.1604 c=10.1927 alpha=90.00 beta=90.00 gamma=90.00
With the nearest neighbours (Å) after each atom.
Space group P-4m2 (No. 115)
Asymmetric unit:
Th 0.0000 0.5000 0.2452 (multiplicity 2)  8 Ir 3.14-3.33, 6 Si 3.21-3.25, 2 Mn 3.25
Mn 0.5000 0.5000 0.0000 (multiplicity 1)  4 Ir 2.50
Si 0.0000 0.0000 0.0000 (multiplicity 1)  4 Ir 2.50
Si 0.0000 0.5000 0.6282 (multiplicity 2)  5 Ir 2.40-2.46
Ir 0.0000 0.0000 0.5000 (multiplicity 1)  4 Si 2.46
Ir 0.0000 0.5000 0.8636 (multiplicity 2)  3 Si 2.40-2.50, 2 Mn 2.50
Ir 0.5000 0.5000 0.5000 (multiplicity 1)  4 Si 2.46

Properties
The uncorrected energy is -8.52 eV per atom. For the density of states at the Fermi level, the calculation gives 7.72 states/eV per cell. The value obtained for the formation energy (no corrections) is -0.947 eV per atom.

2.
Computed, not measured: an optimized crystal structure of KIn2Pd4 at the PBE level of DFT.

Unit cell a=8.3932 b=8.3932 c=8.3580 alpha=90.00 beta=90.00 gamma=90.00
With the nearest neighbours (Å) after each atom.
Space group I4/mcm (No. 140)
Asymmetric unit:
K 0.0000 0.0000 0.2500 (multiplicity 4)  8 Pd 3.30
In 0.1528 0.3472 0.0000 (multiplicity 8)  8 Pd 2.78-2.85
Pd 0.1441 0.3559 0.3356 (multiplicity 16)  4 Pd 2.75-2.89, 4 In 2.78-2.85

Properties
The uncorrected energy is -4.30 eV per atom. For the density of states at the Fermi level, the calculation gives 10.09 states/eV per cell. Its formation energy is -391 meV/atom.

3.
Computed, not measured: an optimized crystal structure of KBiAsSe2 at the PBE level of DFT.

Unit cell a=5.5355 b=5.5355 c=5.3204 alpha=90.00 beta=90.00 gamma=90.00
With the nearest neighbours (Å) after each atom.
Space group P4/mmm (No. 123)
Asymmetric unit:
K 0.0000 0.0000 0.0000 (multiplicity 1)  2 As 2.66, 4 Se 2.77
Bi 0.5000 0.5000 0.5000 (multiplicity 1)  8 Se 3.84, 4 As 3.91
As 0.0000 0.0000 0.5000 (multiplicity 1)  2 K 2.66
Se 0.0000 0.5000 0.0000 (multiplicity 2)  2 K 2.77

Properties
The uncorrected energy is -2.29 eV per atom. For the density of states at the Fermi level, the calculation gives 7.96 states/eV per cell. The value obtained for the formation energy (no corrections) is 1.034 eV per atom. The polymorph energy (0 for the lowest one) is 5.03 eV per formula unit.

4.
Computed, not measured: an optimized crystal structure of Nd15Dy4Y at the PBE level of DFT.

Unit cell a=5.1679 b=5.1679 c=25.7209 alpha=90.00 beta=90.00 gamma=90.00
With the nearest neighbours (Å) after each atom.
Space group P4/mmm (No. 123)
Asymmetric unit:
Nd 0.0000 0.0000 0.0000 (multiplicity 1)  8 Nd 3.65, 4 Y 3.65
Nd 0.0000 0.0000 0.2002 (multiplicity 2)  8 Nd 3.64, 4 Dy 3.65
Nd 0.0000 0.0000 0.4001 (multiplicity 2)  8 Nd 3.64-3.65, 4 Dy 3.65
Nd 0.0000 0.5000 0.1004 (multiplicity 4)  2 Dy 3.64, 8 Nd 3.64-3.65, 2 Y 3.65
Nd 0.0000 0.5000 0.3001 (multiplicity 4)  8 Nd 3.64-3.65, 4 Dy 3.65
Nd 0.0000 0.5000 0.5000 (multiplicity 2)  8 Nd 3.64-3.65, 4 Dy 3.64
Dy 0.5000 0.5000 0.2001 (multiplicity 2)  12 Nd 3.64-3.65
Dy 0.5000 0.5000 0.4001 (multiplicity 2)  12 Nd 3.64-3.65
Y 0.5000 0.5000 0.0000 (multiplicity 1)  12 Nd 3.65

Properties
The uncorrected energy is -4.81 eV per atom. For the density of states at the Fermi level, the calculation gives 27.52 states/eV per cell. Its formation energy is 11 meV/atom.

5.
Computed, not measured: an optimized crystal structure of RbRe2N2 at the PBE level of DFT.

Unit cell a=3.6821 b=3.6821 c=12.9065 alpha=90.00 beta=90.00 gamma=90.00
With the nearest neighbours (Å) after each atom.
Space group I4/mmm (No. 139)
Asymmetric unit:
Rb 0.0000 0.0000 0.0000 (multiplicity 2)  8 N 3.36, 4 Rb 3.68, 8 Re 3.71
Re 0.0000 0.5000 0.2500 (multiplicity 4)  4 N 2.15
N 0.0000 0.0000 0.3359 (multiplicity 4)  4 Re 2.15

Properties
The uncorrected energy is -8.00 eV per atom. For the density of states at the Fermi level, the calculation gives 9.75 states/eV per cell. The value obtained for the formation energy (no corrections) is 0.499 eV per atom. The polymorph energy (0 for the lowest one) is 0.00 eV per formula unit.